Record 1
## K2MnAg (PBE)

Data for a relaxed structure of K2MnAg.

## Properties
The value obtained for the density of states at the Fermi level is 8.35 states/eV per cell. The energy of formation is 2.99 eV per formula unit. Its volume is 31.9 Å³/atom. The total energy is -2.81 eV/atom.

Lattice parameters (Å, degrees): 3.5799 3.5799 34.4565 90.00 90.00 120.00
Space group R-3m (No. 166, hexagonal axes)
Inequivalent atoms, fractional coordinates:
K1 0.0000 0.0000 0.2453 [6 per cell]
Mn1 0.0000 0.0000 0.0000 [3 per cell]
Ag1 0.0000 0.0000 0.5000 [3 per cell]

=====

Record 2
## K2MnAg (PBE)

Data for a relaxed structure of K2MnAg.

## Properties
The value obtained for the density of states at the Fermi level is 6.28 states/eV per cell. The energy of formation is 1.72 eV per formula unit. Its volume is 41.3 Å³/atom. The total energy is -3.13 eV/atom.

Lattice parameters (Å, degrees): 8.020 4.614 9.293 90.00 106.00 90.00
Space group Cm (No. 8)
Inequivalent atoms, fractional coordinates:
K1 0.000 0.000 0.000 [2 per cell]
K2 0.176 0.000 0.550 [2 per cell]
Mn1 0.421 0.000 0.275 [2 per cell]
Ag1 0.254 0.500 0.275 [2 per cell]

=====

Record 3
## K2MnAg (PBE)

Data for a relaxed structure of K2MnAg.

## Properties
The value obtained for the density of states at the Fermi level is 7.19 states/eV per cell. The energy of formation is 2.68 eV per formula unit. Its volume is 33.0 Å³/atom. The total energy is -2.88 eV/atom.

Lattice parameters (Å, degrees): 5.040 5.040 10.389 90.00 90.00 90.00
Space group I4/mmm (No. 139)
Inequivalent atoms, fractional coordinates:
K1 0.000 0.500 0.250 [4 per cell]
Mn1 0.000 0.000 0.000 [2 per cell]
Ag1 0.000 0.000 0.500 [2 per cell]

=====

Record 4
## K2MnAg (PBE)

Data for a relaxed structure of K2MnAg.

## Properties
The value obtained for the density of states at the Fermi level is 14.55 states/eV per cell. The energy of formation is 2.39 eV per formula unit. Its volume is 47.9 Å³/atom. The total energy is -2.96 eV/atom.

Lattice parameters (Å, degrees): 12.107 12.107 5.224 90.00 90.00 90.00
Space group I-42d (No. 122)
Inequivalent atoms, fractional coordinates:
K1 0.096 0.250 0.125 [8 per cell]
Mn1 0.000 0.000 0.500 [4 per cell]
Ag1 0.000 0.000 0.000 [4 per cell]

=====

Record 5
## KMnAg2 (PBE)

Data for a relaxed structure of KMnAg2.

## Properties
The value obtained for the density of states at the Fermi level is 2.15 states/eV per cell. The energy of formation is 1.74 eV per formula unit. Its volume is 24.5 Å³/atom. The total energy is -3.56 eV/atom.

Lattice parameters (Å, degrees): 3.465 3.465 8.169 90.00 90.00 90.00
Space group P4mm (No. 99)
Inequivalent atoms, fractional coordinates:
K1 0.000 0.000 0.000 [1 per cell]
Mn1 0.500 0.500 0.348 [1 per cell]
Ag1 0.000 0.000 0.500 [1 per cell]
Ag2 0.500 0.500 0.690 [1 per cell]

=====

Record 6
## KMnAg2 (PBE)

Data for a relaxed structure of KMnAg2.

## Properties
The value obtained for the density of states at the Fermi level is 12.12 states/eV per cell. The energy of formation is 2.23 eV per formula unit. Its volume is 23.3 Å³/atom. The total energy is -3.43 eV/atom.

Lattice parameters (Å, degrees): 7.198 7.198 7.198 90.00 90.00 90.00
Space group Fm-3m (No. 225)
Inequivalent atoms, fractional coordinates:
K1 0.000 0.000 0.000 [4 per cell]
Mn1 0.000 0.000 0.500 [4 per cell]
Ag1 0.250 0.250 0.250 [8 per cell]

=====

Record 7
## KNa2MnAg (PBE)

Data for a relaxed structure of KNa2MnAg.

## Properties
The value obtained for the density of states at the Fermi level is 3.42 states/eV per cell. The energy of formation is 2.01 eV per formula unit. Its volume is 34.5 Å³/atom. The total energy is -2.75 eV/atom.

Lattice parameters (Å, degrees): 5.739 5.739 5.240 90.00 90.00 90.00
Space group P4/mmm (No. 123)
Inequivalent atoms, fractional coordinates:
K1 0.000 0.000 0.000 [1 per cell]
Na1 0.000 0.500 0.500 [2 per cell]
Mn1 0.500 0.500 0.000 [1 per cell]
Ag1 0.500 0.500 0.500 [1 per cell]